Entry 1:
PBE Ge2Te4I3, optimized geometry; total DFT energy (no corrections) = -26.66 eV/f.u.; DOS(E_F) = 2.9 states/eV/f.u.; uncorrected formation energy = -23 meV per atom; symmetry = No. 15
1.0
-3.069 -7.986 -2.399
7.580 -2.416 -4.675
4.363 -4.599 6.705
Te I Ge
8 6 4
Direct
0.952 0.687 0.090
0.650 0.375 0.254
0.548 0.910 0.313
0.048 0.313 0.910
0.452 0.090 0.687
0.850 0.746 0.625
0.350 0.625 0.746
0.150 0.254 0.375
0.420 0.751 0.992
0.250 0.546 0.454
0.920 0.992 0.751
0.580 0.249 0.008
0.080 0.008 0.249
0.750 0.454 0.546
0.034 0.602 0.835
0.534 0.835 0.602
0.466 0.165 0.398
0.966 0.398 0.165

---

Entry 2:
PBE GeTe3I, optimized geometry; total DFT energy (no corrections) = -13.29 eV/f.u.; DOS(E_F) = 5.5 states/eV/f.u.; uncorrected formation energy = 461 meV per atom; symmetry = No. 221
1.0
-3.246 -3.202 3.041
-2.962 -1.220 -4.446
3.274 -4.277 -1.008
I Te Ge
1 3 1
Direct
0.500 0.500 0.500
0.500 0.000 0.000
0.000 0.500 0.000
0.000 0.000 0.500
0.000 0.000 0.000